Density functional theory data (meta-GGA SCAN) for CoReCS2 at its PBEsol-relaxed geometry.

The structure belongs to space group P4/mmm (No. 123); the cell edges are 4.673, 4.673 and 3.818 Å and the angles 90.00°, 90.00° and 90.00°. The inequivalent atoms are Co at (0.000, 0.000, 0.000), Re at (0.500, 0.500, 0.500), C at (0.500, 0.500, 0.000) and S at (0.000, 0.500, 0.500).

The density of states at the Fermi level is 2.91 states/eV per cell. The raw formation energy is 1.097 eV per atom. For the density, the calculation gives 6.40 g/cm3.

Density functional theory data (meta-GGA SCAN) for Co3RhC at its PBEsol-relaxed geometry.

The structure belongs to space group Pm-3m (No. 221); the cell edges are 3.725, 3.725 and 3.725 Å and the angles 90.00°, 90.00° and 90.00°. The inequivalent atoms are Co at (0.000, 0.000, 0.500), Rh at (0.500, 0.500, 0.500) and C at (0.000, 0.000, 0.000).

The density of states at the Fermi level is 4.00 states/eV per cell. For the density, the calculation gives 9.37 g/cm3. As for the formation energy: 26 kJ/mol of atoms.

Density functional theory data (meta-GGA SCAN) for CoCS2 at its PBEsol-relaxed geometry.

The structure belongs to space group I-42d (No. 122); the cell edges are 4.711, 4.711 and 8.796 Å and the angles 90.00°, 90.00° and 90.00°. The inequivalent atoms are Co at (0.000, 0.000, 0.000), C at (0.000, 0.000, 0.500) and S at (0.218, 0.250, 0.625).

The density of states at the Fermi level is 1.55 states/eV per cell. The raw formation energy is 0.644 eV per atom. For the density, the calculation gives 4.60 g/cm3.

Density functional theory data (meta-GGA SCAN) for Ta6CoC3S6 at its PBEsol-relaxed geometry.

The structure belongs to space group C2/m (No. 12); the cell edges are 5.652, 9.792 and 8.452 Å and the angles 90.00°, 102.85° and 90.00°. The inequivalent atoms are Ta at (0.120, 0.000, 0.362), Ta at (0.120, 0.334, 0.359), Co at (0.000, 0.000, 0.000), C at (0.000, 0.169, 0.500), C at (0.000, 0.500, 0.500), S at (0.219, 0.500, 0.159) and S at (0.221, 0.167, 0.161).

The density of states at the Fermi level is 7.44 states/eV per cell. The raw formation energy is -0.915 eV per atom. For the density, the calculation gives 10.00 g/cm3.

Density functional theory data (meta-GGA SCAN) for Co2SbC at its PBEsol-relaxed geometry.

The structure belongs to space group I-42d (No. 122); the cell edges are 4.694, 4.694 and 10.081 Å and the angles 90.00°, 90.00° and 90.00°. The inequivalent atoms are Co at (0.122, 0.250, 0.125), Sb at (0.000, 0.000, 0.500) and C at (0.000, 0.000, 0.000).

The density of states at the Fermi level is 7.74 states/eV per cell. The raw formation energy is 0.499 eV per atom. For the density, the calculation gives 7.52 g/cm3.

Density functional theory data (meta-GGA SCAN) for CoSb2C at its PBEsol-relaxed geometry.

The structure belongs to space group I-42d (No. 122); the cell edges are 5.505, 5.505 and 9.827 Å and the angles 90.00°, 90.00° and 90.00°. The inequivalent atoms are Co at (0.000, 0.000, 0.000), Sb at (0.221, 0.250, 0.625) and C at (0.000, 0.000, 0.500).

The density of states at the Fermi level is 5.70 states/eV per cell. The raw formation energy is 0.815 eV per atom. For the density, the calculation gives 7.01 g/cm3.

Density functional theory data (meta-GGA SCAN) for Ti2CoSbC at its PBEsol-relaxed geometry.

The structure belongs to space group P4/mmm (No. 123); the cell edges are 4.018, 4.018 and 4.533 Å and the angles 90.00°, 90.00° and 90.00°. The inequivalent atoms are Ti at (0.000, 0.500, 0.000), Co at (0.000, 0.000, 0.500), Sb at (0.500, 0.500, 0.500) and C at (0.500, 0.500, 0.000).

The density of states at the Fermi level is 3.04 states/eV per cell. The raw formation energy is 0.096 eV per atom. For the density, the calculation gives 6.55 g/cm3.

Density functional theory data (meta-GGA SCAN) for Sc3CoC at its PBEsol-relaxed geometry.

The structure belongs to space group Pm-3m (No. 221); the cell edges are 4.572, 4.572 and 4.572 Å and the angles 90.00°, 90.00° and 90.00°. The inequivalent atoms are Sc at (0.000, 0.000, 0.500), Co at (0.000, 0.000, 0.000) and C at (0.500, 0.500, 0.500).

The density of states at the Fermi level is 4.68 states/eV per cell. For the density, the calculation gives 3.58 g/cm3. As for the formation energy: 89 kJ/mol of atoms.

Density functional theory data (meta-GGA SCAN) for CoSiC2 at its PBEsol-relaxed geometry.

The structure belongs to space group I-42d (No. 122); the cell edges are 4.377, 4.377 and 8.378 Å and the angles 90.00°, 90.00° and 90.00°. The inequivalent atoms are Co at (0.000, 0.000, 0.000), Si at (0.000, 0.000, 0.500) and C at (0.246, 0.250, 0.125).

The density of states at the Fermi level is 6.98 states/eV per cell. The raw formation energy is 0.486 eV per atom. For the density, the calculation gives 4.59 g/cm3.

Density functional theory data (meta-GGA SCAN) for SmCoC2 at its PBEsol-relaxed geometry.

The structure belongs to space group Amm2 (No. 38); the cell edges are 3.676, 4.488 and 5.950 Å and the angles 90.00°, 90.00° and 90.00°. The inequivalent atoms are Sm at (0.000, 0.000, 0.000), Co at (0.500, 0.000, 0.386) and C at (0.500, 0.154, 0.695).

The density of states at the Fermi level is 2.72 states/eV per cell. For the density, the calculation gives 7.89 g/cm3. As for the formation energy: -30 kJ/mol of atoms.

Density functional theory data (meta-GGA SCAN) for SmCoC2 at its PBEsol-relaxed geometry.

The structure belongs to space group Cc (No. 9); the cell edges are 5.232, 5.235 and 7.280 Å and the angles 90.00°, 101.10° and 90.00°. The inequivalent atoms are Sm at (0.000, 0.070, 0.000), Co at (0.056, 0.431, 0.694), C at (0.326, 0.183, 0.773) and C at (0.483, 0.074, 0.928).

The density of states at the Fermi level is 4.21 states/eV per cell. For the density, the calculation gives 7.92 g/cm3. As for the formation energy: -32 kJ/mol of atoms.

Density functional theory data (meta-GGA SCAN) for Y2CoSnC at its PBEsol-relaxed geometry.

The structure belongs to space group P4/mmm (No. 123); the cell edges are 5.557, 5.557 and 4.497 Å and the angles 90.00°, 90.00° and 90.00°. The inequivalent atoms are Y at (0.000, 0.500, 0.000), Co at (0.000, 0.000, 0.500), Sn at (0.000, 0.000, 0.000) and C at (0.500, 0.500, 0.500).

The density of states at the Fermi level is 2.85 states/eV per cell. For the density, the calculation gives 4.39 g/cm3. As for the formation energy: 141 kJ/mol of atoms.